Material: Tl2Co2H
Method: DFT, PBE
State: relaxed

Lattice parameters (Å, degrees): 4.793 4.793 4.793 112.45 112.45 103.66
Positions (direct):
Tl: 0.250 0.750 0.500
Tl: 0.750 0.250 0.500
Co: 0.193 0.193 0.000
Co: 0.807 0.807 0.000
H: 0.500 0.500 0.000

total magnetization = 2.79 Bohr magnetons per cell
density of states at the Fermi level = 4.9 states/eV/cell
offset from the most stable computed form = 0.000 eV/atom